Computed, not measured: an optimized crystal structure of TmFe2C at the GGA-PBE level of DFT.

Summary:
ρ in g/cm³: 9.65
E above lowest polymorph in meV per atom: 0
Symmetry: Cmcm, No. 63
ΔE_f in eV/atom: -0.02

a b c (Å): 3.4177 3.5382 8.4982
angles (deg): 90.00 101.60 90.00
Each line ends with the local moment (μB).
Element x y z (fractional)
Fe 0.0403 0.2500 0.0806  1.75
Fe 0.7496 0.2500 0.4992  -0.38
Fe 0.9597 0.7500 0.9194  1.75
Fe 0.2504 0.7500 0.5008  -0.38
C 0.8126 0.7500 0.6252  0.01
C 0.1874 0.2500 0.3748  0.01
Tm 0.3868 0.2500 0.7736  -0.14
Tm 0.6132 0.7500 0.2264  -0.14